1.
Density functional theory data (PBE) for a geometry-optimized MnS structure.

POSCAR file:
```
MnS
1.0
0.000 2.564 2.564
2.564 0.000 2.564
2.564 2.564 0.000
Mn S
1 1
direct
0.000 0.000 0.000
0.500 0.500 0.500
```

Results
- uncorrected formation energy (kJ/mol of atoms) = -47
- energy (eV/f.u.) = -14.3
- space group = Fm-3m (225)

2.
Density functional theory data (PBE) for a geometry-optimized CoReAs4 structure.

POSCAR file:
```
CoReAs4
1.0
0.000 3.733 3.733
3.733 0.000 3.733
3.733 3.733 0.000
Co Re As
1 1 4
direct
0.000 0.000 0.000
0.250 0.250 0.250
0.126 0.625 0.625
0.625 0.126 0.625
0.625 0.625 0.126
0.625 0.625 0.625
```

Results
- energy (eV/f.u.) = -31.1
- ΔE_f (eV per formula unit) = 7.1
- space group = F-43m (216)

3.
Density functional theory data (PBE) for a geometry-optimized NaHo2SbO6 structure.

POSCAR file:
```
NaHo2SbO6
1.0
2.833 1.636 5.033
-2.833 1.636 5.033
0.000 -3.271 5.033
Na Ho Sb O
1 2 1 6
direct
0.000 0.000 0.000
0.272 0.272 0.272
0.779 0.779 0.779
0.477 0.477 0.477
0.108 0.653 0.405
0.224 0.567 0.840
0.405 0.108 0.653
0.567 0.840 0.224
0.653 0.405 0.108
0.840 0.224 0.567
```

Results
- uncorrected formation energy (kJ/mol of atoms) = -250
- energy (eV/f.u.) = -70.3
- space group = R3 (146)

4.
Density functional theory data (PBE) for a geometry-optimized MgPtCl2 structure.

POSCAR file:
```
MgPtCl2
1.0
1.629 0.940 11.101
-1.629 0.940 11.101
0.000 -1.881 11.101
Mg Pt Cl
1 1 2
direct
0.000 0.000 0.000
0.500 0.500 0.500
0.288 0.288 0.288
0.712 0.712 0.712
```

Results
- energy relative to the lowest polymorph listed for this composition (eV/atom) = 0.3233
- uncorrected formation energy (kJ/mol of atoms) = -52
- energy (eV/f.u.) = -13.5
- space group = R-3m (166)

5.
Density functional theory data (PBE) for a geometry-optimized TmSc2Ga3 structure.

POSCAR file:
```
TmSc2Ga3
1.0
2.874 -4.986 0.000
2.874 4.986 0.000
0.000 0.000 4.573
Tm Sc Ga
1 2 3
direct
0.000 0.000 0.000
0.334 0.666 0.000
0.666 0.334 0.000
0.000 0.500 0.500
0.500 0.000 0.500
0.500 0.500 0.500
```

Results
- energy relative to the lowest polymorph listed for this composition (eV/atom) = 0.1914
- energy (eV/f.u.) = -28.6
- ΔE_f (eV per formula unit) = -2.3
- space group = Cmmm (65)

6.
Density functional theory data (PBE) for a geometry-optimized Ba4Y2Cu5O14 structure.

POSCAR file:
```
Ba4Y2Cu5O14
1.0
3.875 -3.861 0.000
3.875 3.861 0.000
-3.743 0.000 12.031
Ba Y Cu O
4 2 5 14
direct
0.250 0.750 0.000
0.458 0.958 0.389
0.750 0.250 0.000
0.958 0.458 0.389
0.095 0.595 0.680
0.595 0.095 0.680
0.041 0.041 0.568
0.169 0.169 0.833
0.344 0.344 0.184
0.670 0.670 0.834
0.845 0.845 0.186
0.058 0.558 0.184
0.267 0.267 0.029
0.280 0.280 0.572
0.281 0.805 0.572
0.409 0.907 0.811
0.411 0.411 0.814
0.436 0.436 0.334
0.558 0.058 0.184
0.769 0.769 0.031
0.805 0.281 0.572
0.806 0.806 0.572
0.907 0.409 0.811
0.909 0.909 0.814
0.937 0.937 0.338
```

Results
- uncorrected formation energy (kJ/mol of atoms) = -175
- energy (eV/f.u.) = -155.8
- space group = Cm (8)

7.
Density functional theory data (PBE) for a geometry-optimized Re2SiPt structure.

POSCAR file:
```
Re2SiPt
1.0
0.000 3.094 3.094
3.094 0.000 3.094
3.094 3.094 0.000
Re Si Pt
2 1 1
direct
0.000 0.000 0.000
0.250 0.250 0.250
0.500 0.500 0.500
0.750 0.750 0.750
```

Results
- uncorrected formation energy (kJ/mol of atoms) = 30
- energy (eV/f.u.) = -35.1
- space group = F-43m (216)

8.
Density functional theory data (PBE) for a geometry-optimized URe3C structure.

POSCAR file:
```
URe3C
1.0
4.202 0.000 0.000
0.000 4.202 0.000
0.000 0.000 4.202
U Re C
1 3 1
direct
0.000 0.000 0.000
0.000 0.500 0.500
0.500 0.000 0.500
0.500 0.500 0.000
0.500 0.500 0.500
```

Results
- energy (eV/f.u.) = -57.8
- ΔE_f (eV per formula unit) = 0.0
- space group = Pm-3m (221)

9.
Density functional theory data (PBE) for a geometry-optimized GePd3I structure.

POSCAR file:
```
GePd3I
1.0
4.763 0.000 0.000
0.000 4.763 0.000
0.000 0.000 4.763
Ge Pd I
1 3 1
direct
0.000 0.000 0.000
0.000 0.000 0.500
0.000 0.500 0.000
0.500 0.000 0.000
0.500 0.500 0.500
```

Results
- energy relative to the lowest polymorph listed for this composition (eV/atom) = 0.0000
- uncorrected formation energy (kJ/mol of atoms) = 17
- energy (eV/f.u.) = -20.9
- space group = Pm-3m (221)

10.
Density functional theory data (PBE) for a geometry-optimized LiBrCl structure.

POSCAR file:
```
LiBrCl
1.0
4.154 0.000 0.000
0.000 5.526 0.000
0.033 2.528 6.844
Li Br Cl
2 2 2
direct
0.249 0.276 0.138
0.751 0.724 0.862
0.252 0.026 0.761
0.748 0.974 0.239
0.252 0.512 0.781
0.748 0.488 0.219
```

Results
- energy relative to the lowest polymorph listed for this composition (eV/atom) = 0.0000
- uncorrected formation energy (kJ/mol of atoms) = -98
- energy (eV/f.u.) = -8.5
- space group = P-1 (2)

11.
Density functional theory data (PBE) for a geometry-optimized BaSnH2N structure.

POSCAR file:
```
BaSnH2N
1.0
4.822 0.000 0.000
0.000 4.822 0.000
0.000 0.000 4.501
Ba Sn H N
1 1 2 1
direct
0.000 0.000 0.000
0.500 0.500 0.000
0.000 0.500 0.500
0.500 0.000 0.500
0.000 0.000 0.500
```

Results
- energy (eV/f.u.) = -14.5
- space group = P4/mmm (123)

12.
Density functional theory data (PBE) for a geometry-optimized GaFe3 structure.

POSCAR file:
```
GaFe3
1.0
1.512 -2.056 0.000
1.512 2.056 0.000
0.000 0.000 7.882
Ga Fe
1 3
direct
0.000 0.000 0.000
0.000 0.000 0.500
0.500 0.500 0.254
0.500 0.500 0.746
```

Results
- energy (eV/f.u.) = -28.4
- ΔE_f (eV per formula unit) = 0.0
- space group = Cmmm (65)